Compound: YSiCSe2
Source: Alexandria
Functional: PBE
Structure: optimized geometry

a b c (Å): 4.4298 4.4298 4.8469
angles (deg): 90.00 90.00 90.00
Space group P4/mmm (No. 123)
Inequivalent atoms, fractional coordinates:
Y  0.0000  0.0000  0.0000 x1
Si  0.5000  0.5000  0.0000 x1
C  0.0000  0.0000  0.5000 x1
Se  0.0000  0.5000  0.5000 x2

Calculated values
E_form (uncorrected) = 2.5 eV per formula unit
Density = 5.009 Mg/m³
Fermi-level density of states = 2.88 states/eV per cell